This record from Alexandria describes a relaxed structure of Ce2PmErAs4. The functional is PBE-GGA.

Calculated values
DFT formation energy: -142.1 kJ/mol of atoms

abc: 7.247 4.190 7.259
angles: 90.00 109.50 90.00
Space group P2/m (No. 10)
Inequivalent atoms, fractional coordinates:
Ce: 0.000 0.000 0.000
Ce: 0.000 0.500 0.500
Pm: 0.500 0.000 0.500
Er: 0.500 0.500 0.000
As: 0.250 0.500 0.245
As: 0.253 0.000 0.756